Record 1
{"formula": "AcSmTmTe3", "functional": "GGA-PBE", "state": "optimized geometry", "volume_a3_per_fu": 203.9, "e_tot_ev_per_cell": -60.57, "crystal_system": "monoclinic", "lattice_angstrom": [[-4.157, 1.517, 0.330], [-2.280, -4.710, -7.063], [-1.660, -6.427, 8.641]], "species": ["Sm", "Ac", "Tm", "Te", "Te", "Te", "Te", "Te", "Tm", "Te", "Sm", "Ac"], "fractional_positions": [[0.250, 0.661, 0.092], [0.250, 0.194, 0.219], [0.750, 0.848, 0.376], [0.250, 0.091, 0.890], [0.750, 0.215, 0.461], [0.750, 0.909, 0.110], [0.750, 0.491, 0.212], [0.250, 0.509, 0.788], [0.250, 0.152, 0.624], [0.250, 0.785, 0.539], [0.750, 0.339, 0.908], [0.750, 0.806, 0.781]]}

=====

Record 2
{"formula": "Mg2MnTc", "functional": "GGA-PBE", "state": "optimized geometry", "volume_a3_per_fu": 65.4, "e_tot_ev_per_cell": -21.74, "formation_enthalpy_0k_ev_per_fu": 1.0, "crystal_system": "monoclinic", "relative_energy_mev_per_atom": 172.1, "lattice_angstrom": [[5.291, 0.016, 0.043], [4.347, 3.017, 0.043], [2.009, 0.632, 4.135]], "species": ["Mg", "Tc", "Mg", "Mn"], "fractional_positions": [[0.234, 0.234, 0.266], [0.780, 0.780, 0.719], [0.012, 0.012, 0.988], [0.473, 0.473, 0.527]]}

=====

Record 3
{"formula": "FeOsRu2", "functional": "GGA-PBE", "state": "optimized geometry", "volume_a3_per_fu": 53.8, "e_tot_ev_per_cell": -37.69, "formation_enthalpy_0k_ev_per_fu": 0.6, "crystal_system": "tetragonal", "lattice_angstrom": [[-1.451, -4.083, 1.624], [0.412, -3.219, -3.298], [2.991, 3.107, 1.677]], "species": ["Ru", "Os", "Ru", "Fe"], "fractional_positions": [[0.000, 0.000, 0.000], [0.750, 0.250, 0.500], [0.500, 0.500, 0.000], [0.250, 0.750, 0.500]]}

=====

> Which formula does entry 1 have?

AcSmTmTe3